VASP calculation (GGA-PBE) on CdInHg2 after structural relaxation.

Computed properties:
The magnetization comes out at 0.000 Bohr magnetons per cell. Its formation enthalpy at 0 K is 8.0 meV per atom.

a b c (Å): 3.4408 3.4408 8.5790
angles (deg): 90.00 90.00 90.00
Sites, in units of the cell vectors:
Cd  0.0000  0.0000  0.0000
In  0.0000  0.0000  0.5000
Hg  0.5000  0.5000  0.2411
Hg  0.5000  0.5000  0.7589

=====

VASP calculation (GGA-PBE) on K2LiMgAl after structural relaxation.

Computed properties:
The magnetization comes out at 0.000 Bohr magnetons per cell. Its formation enthalpy at 0 K is 456.3 meV per atom.

a b c (Å): 6.6854 6.6854 5.2120
angles (deg): 90.00 90.00 90.00
Sites, in units of the cell vectors:
K  0.0000  0.5000  0.0000
K  0.5000  0.0000  0.0000
Li  0.0000  0.0000  0.5000
Mg  0.5000  0.5000  0.0000
Al  0.5000  0.5000  0.5000

=====

VASP calculation (GGA-PBE) on SrSiBr after structural relaxation.

Computed properties:
The energy relative to the elements, uncorrected comes out at 0.03 eV/f.u. The magnetization comes out at 0.016 Bohr magnetons per cell.

a b c (Å): 5.1885 5.1885 5.1885
angles (deg): 60.00 60.00 60.00
Sites, in units of the cell vectors:
Sr  0.0000  0.0000  0.0000
Si  0.2500  0.2500  0.2500
Br  0.5000  0.5000  0.5000

=====

VASP calculation (GGA-PBE) on Ti5PbS8 after structural relaxation.

Computed properties:
The energy relative to the elements, uncorrected comes out at -17.94 eV/f.u. The magnetization comes out at 0.000 Bohr magnetons per cell.

a b c (Å): 8.9692 8.9692 8.9477
angles (deg): 104.13 104.13 21.79
Sites, in units of the cell vectors:
Ti  0.0000  0.0000  0.0000
Ti  0.0454  0.0454  0.3590
Ti  0.3380  0.3380  0.0073
Ti  0.6307  0.6307  0.6558
Ti  0.6759  0.6759  0.0148
Pb  0.8384  0.8384  0.5064
S  0.0957  0.0957  0.8375
S  0.1782  0.1782  0.5090
S  0.2513  0.2513  0.1837
S  0.4246  0.4246  0.8311
S  0.4978  0.4978  0.5059
S  0.5802  0.5802  0.1774
S  0.7618  0.7618  0.8408
S  0.9141  0.9141  0.1740

=====

| no. | total energy (eV for the cell shown) |
| --- | --- |
| 1 | -4.2 |
| 2 | -7.2 |
| 3 | -8.7 |
| 4 | -94.1 |